Material: ThCrPb2O6
Method: DFT, PBE with a Hubbard U
State: relaxed

```
data_ThCrPb2O6
_cell_length_a 5.7244
_cell_length_b 6.0416
_cell_length_c 10.1692
_cell_angle_alpha 90.00
_cell_angle_beta 122.68
_cell_angle_gamma 90.00
_symmetry_space_group_name_H-M 'P 1 21/c 1'
_symmetry_Int_Tables_number 14
loop_
_symmetry_equiv_pos_as_xyz
'x,y,z'
'-x,-y,-z'
'-x,y+1/2,-z+1/2'
'x,-y+1/2,z+1/2'
loop_
_atom_site_label
_atom_site_type_symbol
_atom_site_fract_x
_atom_site_fract_y
_atom_site_fract_z
_atom_site_occupancy
Th1 Th 0.0000 0.0000 0.0000 1
Cr1 Cr 0.5000 0.0000 0.5000 1
Pb1 Pb 0.2517 0.0430 0.7366 1
O1 O 0.2004 0.1772 0.4837 1
O2 O 0.2886 0.7350 0.4741 1
O3 O 0.3296 0.0270 0.2659 1
```

Output
- DFT total energy: -7.17 eV/atom